Record 1
An optimized crystal structure of Nd6SbP4. Source: Alexandria via LeMat-Bulk, functional GGA-PBE.

Computed properties:
Size of the total moment ... 0.06 μB/atom
Formation energy without anion corrections ... -1.384 eV/atom
Crystal system ... orthorhombic

CIF file:
```
data_Nd6SbP4
_symmetry_space_group_name_H-M 'P 1'
_symmetry_Int_Tables_number 1
_cell_length_a 4.2192
_cell_length_b 7.1808
_cell_length_c 21.1779
_cell_angle_alpha 90.00
_cell_angle_beta 90.00
_cell_angle_gamma 107.08
loop_
_symmetry_equiv_pos_as_xyz
'x,y,z'
loop_
_atom_site_label
_atom_site_type_symbol
_atom_site_fract_x
_atom_site_fract_y
_atom_site_fract_z
_atom_site_occupancy
Nd1 Nd 0.7729 0.5459 0.0811 1
Nd2 Nd 0.0403 0.0806 0.1579 1
Nd3 Nd 0.5000 0.0000 0.0000 1
Nd4 Nd 0.9597 0.9194 0.8421 1
Nd5 Nd 0.6680 0.3361 0.7500 1
Nd6 Nd 0.7729 0.5459 0.4189 1
Nd7 Nd 0.2271 0.4541 0.5811 1
Nd8 Nd 0.3320 0.6639 0.2500 1
Nd9 Nd 0.5000 0.0000 0.5000 1
Nd10 Nd 0.0403 0.0806 0.3421 1
Nd11 Nd 0.2271 0.4541 0.9189 1
Nd12 Nd 0.9597 0.9194 0.6579 1
P1 P 0.1374 0.2748 0.0414 1
P2 P 0.8626 0.7252 0.5414 1
P3 P 0.5920 0.1841 0.6253 1
P4 P 0.1374 0.2748 0.4586 1
P5 P 0.4080 0.8159 0.1253 1
P6 P 0.8626 0.7252 0.9586 1
P7 P 0.5920 0.1841 0.8747 1
P8 P 0.4080 0.8159 0.3747 1
Sb1 Sb 0.6617 0.3235 0.2500 1
Sb2 Sb 0.3383 0.6765 0.7500 1
```

---

Record 2
An optimized crystal structure of Mg2TlPbO6. Source: Alexandria via LeMat-Bulk, functional GGA-PBE.

Computed properties:
Size of the total moment ... 0.11 μB/atom
Formation energy without anion corrections ... -1.393 eV/atom
Crystal system ... trigonal

CIF file:
```
data_Mg2TlPbO6
_symmetry_space_group_name_H-M 'P 1'
_symmetry_Int_Tables_number 1
_cell_length_a 5.4813
_cell_length_b 5.4811
_cell_length_c 5.8217
_cell_angle_alpha 61.91
_cell_angle_beta 61.91
_cell_angle_gamma 59.98
loop_
_symmetry_equiv_pos_as_xyz
'x,y,z'
loop_
_atom_site_label
_atom_site_type_symbol
_atom_site_fract_x
_atom_site_fract_y
_atom_site_fract_z
_atom_site_occupancy
Pb1 Pb 0.8069 0.8069 0.5791 1
O1 O 0.7336 0.1315 0.7396 1
O2 O 0.3952 0.7337 0.7396 1
O3 O 0.6413 0.2264 0.2456 1
O4 O 0.8866 0.6414 0.2456 1
O5 O 0.1315 0.3952 0.7396 1
O6 O 0.2265 0.8866 0.2456 1
Mg1 Mg 0.0185 0.0186 0.9445 1
Mg2 Mg 0.5168 0.5168 0.4497 1
Tl1 Tl 0.3046 0.3046 0.0862 1
```